Record 1
## CdPIr3 (PBE)

Data for a relaxed structure of CdPIr3.

The structure belongs to space group Pm-3m (No. 221); the cell edges are 4.430, 4.430 and 4.430 Å and the angles 90.00°, 90.00° and 90.00°. The distinct sites, in fractional coordinates, are Cd at (0.000, 0.000, 0.000), P at (0.500, 0.500, 0.500) and Ir at (0.000, 0.500, 0.500).

The calculated density comes out at 13.75 Mg/m³. Its magnetic moment is 0.000 μB per formula unit. The value obtained for the formation energy is 0.331 eV/atom.


Record 2
## CdPIr2 (PBE)

Data for a relaxed structure of CdPIr2.

The structure belongs to space group Pmmm (No. 47); the cell edges are 2.896, 4.504 and 4.884 Å and the angles 90.00°, 90.00° and 90.00°. The distinct sites, in fractional coordinates, are Cd at (0.000, 0.000, 0.000), P at (0.500, 0.000, 0.500), Ir at (0.000, 0.500, 0.500) and Ir at (0.500, 0.500, 0.000).

The calculated density comes out at 13.76 Mg/m³. Its magnetic moment is 0.000 μB per formula unit. The value obtained for the formation energy is 0.472 eV/atom.


Record 3
## Cd2PIr (PBE)

Data for a relaxed structure of Cd2PIr.

The structure belongs to space group Cmmm (No. 65); the cell edges are 2.941, 5.006 and 9.809 Å and the angles 90.00°, 90.00° and 90.00°. The distinct sites, in fractional coordinates, are Cd at (0.000, 0.000, 0.240), P at (0.000, 0.500, 0.500) and Ir at (0.000, 0.500, 0.000).

The calculated density comes out at 10.30 Mg/m³. Its magnetic moment is 0.000 μB per formula unit. The value obtained for the formation energy is 0.415 eV/atom.


Record 4
## CdPIr2 (PBE)

Data for a relaxed structure of CdPIr2.

The structure belongs to space group Pmmm (No. 47); the cell edges are 3.402, 4.006 and 5.540 Å and the angles 90.00°, 90.00° and 90.00°. The distinct sites, in fractional coordinates, are Cd at (0.000, 0.000, 0.000), P at (0.000, 0.500, 0.500) and Ir at (0.500, 0.500, 0.240).

The calculated density comes out at 11.61 Mg/m³. Its magnetic moment is 0.000 μB per formula unit. The value obtained for the formation energy is -0.030 eV/atom.